[1]
# Ga2FeAsRh

A relaxed Ga2FeAsRh crystal (PBE, the Alexandria database).

Summary:
Magnetization   3.584 μB/f.u.
Energy of formation   0.8687 eV per atom
Total energy   -4.4348 eV/atom
Symmetry   P4/mmm

Cell: 4.8735 4.5584 4.8735 Å, 90.00 90.00 90.00°
Last column: magnetic moment on the atom in μB.
Atoms (fractional coordinates):
As 0.0000 0.0000 0.0000  0.01
Rh 0.0000 0.5000 0.0000  0.27
Fe 0.5000 0.5000 0.5000  3.27
Ga 0.0000 0.0000 0.5000  0.00
Ga 0.5000 0.0000 0.0000  -0.03


[2]
# GaFeAs2S

A relaxed GaFeAs2S crystal (PBE, the Alexandria database).

Summary:
Magnetization   2.868 μB/f.u.
Total energy   -3.9266 eV/atom
Symmetry   P4/mmm
Formation energy without anion corrections   1057 meV per atom

Cell: 4.8630 4.6714 4.8630 Å, 90.00 90.00 90.00°
Last column: magnetic moment on the atom in μB.
Atoms (fractional coordinates):
S 0.5000 0.5000 0.5000  -0.02
As 0.0000 0.0000 0.5000  -0.04
As 0.5000 0.0000 0.0000  -0.07
Fe 0.0000 0.5000 0.0000  3.03
Ga 0.0000 0.0000 0.0000  -0.06


[3]
# GaFeTeAs2

A relaxed GaFeTeAs2 crystal (PBE, the Alexandria database).

Summary:
Magnetization   2.886 μB/f.u.
Total energy   -3.7664 eV/atom
Symmetry   P4/mmm
Formation energy without anion corrections   1020 meV per atom

Cell: 5.4145 4.6718 5.4145 Å, 90.00 90.00 90.00°
Last column: magnetic moment on the atom in μB.
Atoms (fractional coordinates):
As 0.0000 0.0000 0.5000  0.05
As 0.5000 0.0000 0.0000  0.08
Te 0.0000 0.0000 0.0000  -0.05
Fe 0.0000 0.5000 0.0000  2.59
Ga 0.5000 0.5000 0.5000  -0.01


[4]
# FeGe3As

A relaxed FeGe3As crystal (PBE, the Alexandria database).

Summary:
Magnetization   3.069 μB/f.u.
Energy of formation   1.1914 eV per atom
Total energy   -4.2014 eV/atom
Symmetry   Pm-3m

Cell: 5.0001 5.0001 5.0001 Å, 90.00 90.00 90.00°
Last column: magnetic moment on the atom in μB.
Atoms (fractional coordinates):
As 0.0000 0.0000 0.0000  0.02
Ge 0.0000 0.5000 0.0000  0.05
Ge 0.0000 0.0000 0.5000  0.03
Ge 0.5000 0.0000 0.0000  0.03
Fe 0.5000 0.5000 0.5000  -3.21


[5]
# Fe2GeAs

A relaxed Fe2GeAs crystal (PBE, the Alexandria database).

Summary:
Magnetization   1.000 μB/f.u.
Energy of formation   0.5740 eV per atom
Total energy   -5.9741 eV/atom
Symmetry   I-42d

Cell: 5.2574 5.2574 6.3891 Å, 65.70 65.70 90.00°
Last column: magnetic moment on the atom in μB.
Atoms (fractional coordinates):
As 0.0000 0.0000 0.0000  -0.05
As 0.7500 0.2500 0.5000  -0.05
Ge 0.5000 0.5000 0.0000  -0.05
Ge 0.2500 0.7500 0.5000  -0.05
Fe 0.6318 0.1250 0.2500  0.55
Fe 0.1182 0.6250 0.2500  0.56
Fe 0.3750 0.3682 0.7500  0.56
Fe 0.8750 0.8818 0.7500  0.54


[6]
# Fe12Ge3As2

A relaxed Fe12Ge3As2 crystal (PBE, the Alexandria database).

Summary:
Magnetization   25.268 μB/f.u.
Energy of formation   -0.0577 eV per atom
Total energy   -7.3931 eV/atom
Symmetry   R32

Cell: 6.6101 6.6101 6.6101 Å, 61.93 61.93 61.93°
Last column: magnetic moment on the atom in μB.
Atoms (fractional coordinates):
Fe 0.4954 0.7284 0.0246  2.19
Fe 0.7284 0.0246 0.4954  2.19
Fe 0.0246 0.4954 0.7284  2.19
Fe 0.9754 0.2716 0.5046  2.19
Fe 0.2716 0.5046 0.9754  2.19
Fe 0.5046 0.9754 0.2716  2.19
Fe 0.1147 0.1147 0.1147  2.13
Fe 0.8853 0.8853 0.8853  2.13
Fe 0.5000 0.5000 0.5000  0.77
Fe 0.0000 0.7577 0.2423  2.59
Fe 0.7577 0.2423 0.0000  2.59
Fe 0.2423 0.0000 0.7577  2.59
Ge 0.1544 0.8456 0.5000  -0.11
Ge 0.8456 0.5000 0.1544  -0.11
Ge 0.5000 0.1544 0.8456  -0.11
As 0.6457 0.6457 0.6457  -0.06
As 0.3543 0.3543 0.3543  -0.06


[7]
# FeGe3As

A relaxed FeGe3As crystal (PBE, the Alexandria database).

Summary:
Magnetization   0.001 μB/f.u.
Energy of formation   0.2638 eV per atom
Total energy   -5.1291 eV/atom
Symmetry   Pm-3m

Cell: 4.5882 4.5882 4.5882 Å, 90.00 90.00 90.00°
Atoms (fractional coordinates):
As 0.5000 0.5000 0.5000
Ge 0.0000 0.5000 0.0000
Ge 0.0000 0.0000 0.5000
Ge 0.5000 0.0000 0.0000
Fe 0.0000 0.0000 0.0000


[8]
# Fe2GeAs

A relaxed Fe2GeAs crystal (PBE, the Alexandria database).

Summary:
Magnetization   0.808 μB/f.u.
Energy of formation   0.1133 eV per atom
Total energy   -6.4348 eV/atom
Symmetry   Fm-3m

Cell: 4.1249 4.1249 4.1249 Å, 60.00 60.00 60.00°
Last column: magnetic moment on the atom in μB.
Atoms (fractional coordinates):
As 0.5000 0.5000 0.5000  -0.01
Ge 0.0000 0.0000 0.0000  -0.03
Fe 0.2500 0.2500 0.2500  0.45
Fe 0.7500 0.7500 0.7500  0.45


[9]
# FeGeAs2

A relaxed FeGeAs2 crystal (PBE, the Alexandria database).

Summary:
Magnetization   2.715 μB/f.u.
Energy of formation   0.5837 eV per atom
Total energy   -5.0111 eV/atom
Symmetry   R-3m

Cell: 3.5551 3.5551 8.0398 Å, 77.23 77.23 60.00°
Last column: magnetic moment on the atom in μB.
Atoms (fractional coordinates):
As 0.0986 0.0986 0.7041  -0.05
As 0.9014 0.9014 0.2959  -0.05
Ge 0.5000 0.5000 0.5000  -0.01
Fe 0.0000 0.0000 0.0000  2.84


Please write out number 2 again, unchanged.
# GaFeAs2S

A relaxed GaFeAs2S crystal (PBE, the Alexandria database).

Summary:
Magnetization   2.868 μB/f.u.
Total energy   -3.9266 eV/atom
Symmetry   P4/mmm
Formation energy without anion corrections   1057 meV per atom

Cell: 4.8630 4.6714 4.8630 Å, 90.00 90.00 90.00°
Last column: magnetic moment on the atom in μB.
Atoms (fractional coordinates):
S 0.5000 0.5000 0.5000  -0.02
As 0.0000 0.0000 0.5000  -0.04
As 0.5000 0.0000 0.0000  -0.07
Fe 0.0000 0.5000 0.0000  3.03
Ga 0.0000 0.0000 0.0000  -0.06


Which of these has the lowest total energy?
Fe12Ge3As2


Please write out number 9 again, unchanged.
# FeGeAs2

A relaxed FeGeAs2 crystal (PBE, the Alexandria database).

Summary:
Magnetization   2.715 μB/f.u.
Energy of formation   0.5837 eV per atom
Total energy   -5.0111 eV/atom
Symmetry   R-3m

Cell: 3.5551 3.5551 8.0398 Å, 77.23 77.23 60.00°
Last column: magnetic moment on the atom in μB.
Atoms (fractional coordinates):
As 0.0986 0.0986 0.7041  -0.05
As 0.9014 0.9014 0.2959  -0.05
Ge 0.5000 0.5000 0.5000  -0.01
Fe 0.0000 0.0000 0.0000  2.84